Here is a relaxed structure of TlPb3 from Alexandria. Energies are from GGA-PBE.

Unit cell a=4.974 b=5.011 c=5.036 alpha=90.00 beta=90.00 gamma=90.00
Space group Pmmm (No. 47)
Asymmetric unit:
Tl 0.000 0.000 0.000 x1
Pb 0.000 0.500 0.500 x1
Pb 0.500 0.000 0.500 x1
Pb 0.500 0.500 0.000 x1

Values from the calculation:
- Volume: 125.5 Å³/f.u.
- Total moment: 0.00 μB per formula unit
- Energy relative to the elements: 0.00 eV/atom